Material: NaCaCr2Se
Method: DFT, PBE-GGA
State: optimized geometry

Summary:
Energy relative to the elements, uncorrected: 0.79 eV/atom
Total magnetization: 10.5 Bohr magnetons per cell

CIF file:
```
data_NaCaCr2Se
_chemical_formula_sum 'Na1 Ca1 Cr2 Se1'
_symmetry_space_group_name_H-M 'P 4/m m m'
_symmetry_Int_Tables_number 123
_symmetry_space_group_name_Hall '-P 4 2'
_cell_length_a 5.108
_cell_length_b 5.108
_cell_length_c 5.276
_cell_angle_alpha 90.00
_cell_angle_beta 90.00
_cell_angle_gamma 90.00
loop_
_atom_site_label
_atom_site_fract_x
_atom_site_fract_y
_atom_site_fract_z
Na1 0.000 0.000 0.000
Ca1 0.500 0.500 0.500
Cr1 0.000 0.500 0.000
Se1 0.000 0.000 0.500
```